Material: NdHoScAg
Method: DFT, PBE
State: relaxed Values from VASP.

The structure in Quantum ESPRESSO input format:
```
&SYSTEM
  ibrav = 0, nat = 16, ntyp = 4
/
ATOMIC_SPECIES
Nd 144.24 Nd.upf
Ho 164.93 Ho.upf
Sc 44.96 Sc.upf
Ag 107.87 Ag.upf
CELL_PARAMETERS angstrom
7.528 0.000 0.000
0.000 7.528 0.000
0.000 0.000 7.528
ATOMIC_POSITIONS crystal
Nd 0.000 0.000 0.000
Nd 0.000 0.500 0.500
Nd 0.500 0.000 0.500
Nd 0.500 0.500 0.000
Ho 0.000 0.000 0.500
Ho 0.000 0.500 0.000
Ho 0.500 0.000 0.000
Ho 0.500 0.500 0.500
Sc 0.250 0.250 0.750
Sc 0.250 0.750 0.250
Sc 0.750 0.250 0.250
Sc 0.750 0.750 0.750
Ag 0.250 0.250 0.250
Ag 0.250 0.750 0.750
Ag 0.750 0.250 0.750
Ag 0.750 0.750 0.250
```

Results
- relative energy among the computed polymorphs (meV/atom) = 145.3
- energy of formation from the pure elements (eV per formula unit) = 0.16
- total moment (μB per atom) = 0.000